(1)
First-principles (PBE-GGA) data for crystalline LaTa2ReBi at its relaxed geometry, as listed in Alexandria.

a b c (Å): 4.8914 5.6227 4.8914
angles (deg): 90.00 90.00 90.00
Last column: nearest neighbours and their distance in Å.
Element x y z (fractional)
Ta  0.0000  0.0000  0.5000  2 La 2.45
Ta  0.5000  0.0000  0.0000  2 La 2.45
Re  0.5000  0.5000  0.5000  4 Bi 3.46, 8 Ta 3.73
Bi  0.0000  0.5000  0.0000  2 La 2.81
La  0.0000  0.0000  0.0000  4 Ta 2.45

Its density of states at the Fermi level is 2.145 states/eV per atom. The value obtained for the spin magnetization is 0.00 μB/atom. The value obtained for the formation enthalpy at 0 K is 2.919 eV/atom. As for the calculated volume: 26.91 A^3/atom. As for the total DFT energy (no corrections): -0.44640 Ry/atom.

(2)
First-principles (PBE-GGA) data for crystalline Si2RhBr at its relaxed geometry, as listed in Alexandria.

a b c (Å): 5.9910 5.9910 6.9116
angles (deg): 64.32 64.32 90.00
Last column: nearest neighbours and their distance in Å.
Element x y z (fractional)
Si  0.7091  0.1250  0.2500  2 Rh 2.26
Si  0.3750  0.2909  0.7500  2 Rh 2.26
Si  0.0409  0.6250  0.2500  2 Rh 2.26
Si  0.8750  0.9591  0.7500  2 Rh 2.26
Rh  0.0000  0.0000  0.0000  4 Si 2.26
Rh  0.7500  0.2500  0.5000  4 Si 2.26
Br  0.2500  0.7500  0.5000  4 Si 2.85
Br  0.5000  0.5000  0.0000  4 Si 2.85

The energy above the most stable polymorph in this dataset is 131 meV/atom. The uncorrected formation energy is 0.09 eV/atom. Its density of states at the Fermi level is 0.217 states/eV per atom. The value obtained for the spin magnetization is 0.00 μB/atom. As for the calculated volume: 24.50 A^3/atom. As for the total DFT energy (no corrections): -0.35849 Ry/atom.

(3)
First-principles (PBE-GGA) data for crystalline PmY2Tl4 at its relaxed geometry, as listed in Alexandria.

a b c (Å): 6.5410 6.5410 6.5410
angles (deg): 111.19 108.62 108.62
Last column: nearest neighbours and their distance in Å.
Element x y z (fractional)
Tl  0.5000  0.0000  0.0000  4 Y 3.27, 2 Pm 3.27
Tl  0.5000  0.5000  0.5000  4 Y 3.27, 2 Pm 3.27
Tl  0.0000  0.0000  0.5000  4 Y 3.27, 2 Pm 3.27
Tl  0.0000  0.5000  0.0000  2 Pm 3.27, 4 Y 3.27
Pm  0.0000  0.0000  0.0000  8 Tl 3.27
Y  0.5000  0.0000  0.5000  8 Tl 3.27
Y  0.5000  0.5000  0.0000  8 Tl 3.27

Its density of states at the Fermi level is 0.989 states/eV per atom. The value obtained for the spin magnetization is 0.07 μB/atom. The value obtained for the formation enthalpy at 0 K is -0.246 eV/atom. As for the calculated volume: 30.75 A^3/atom. As for the total DFT energy (no corrections): -0.30312 Ry/atom.

(4)
First-principles (PBE-GGA) data for crystalline LaPmDy2 at its relaxed geometry, as listed in Alexandria.

a b c (Å): 5.0553 5.1543 5.1543
angles (deg): 90.00 90.00 90.00
Last column: nearest neighbours and their distance in Å.
Element x y z (fractional)
Dy  0.0000  0.5000  0.0000  4 La 3.61, 4 Pm 3.61, 4 Dy 3.64
Dy  0.0000  0.0000  0.5000  4 Pm 3.61, 4 La 3.61, 4 Dy 3.64
Pm  0.5000  0.5000  0.5000  8 Dy 3.61, 4 La 3.64
La  0.5000  0.0000  0.0000  8 Dy 3.61, 4 Pm 3.64

The energy above the most stable polymorph in this dataset is 12 meV/atom. Its density of states at the Fermi level is 1.652 states/eV per atom. The value obtained for the spin magnetization is 0.00 μB/atom. The value obtained for the formation enthalpy at 0 K is 0.025 eV/atom. As for the calculated volume: 33.58 A^3/atom. As for the total DFT energy (no corrections): -0.34512 Ry/atom.

(5)
First-principles (PBE-GGA) data for crystalline Ba12AgPd6 at its relaxed geometry, as listed in Alexandria.

a b c (Å): 10.0329 10.0329 10.0329
angles (deg): 109.47 109.47 109.47
Last column: nearest neighbours and their distance in Å.
Element x y z (fractional)
Pd  0.3803  0.5000  0.8803  1 Pd 2.77
Pd  0.1197  0.6197  0.5000  1 Pd 2.77
Pd  0.6197  0.5000  0.1197  1 Pd 2.77
Pd  0.5000  0.8803  0.3803  1 Pd 2.77
Pd  0.8803  0.3803  0.5000  1 Pd 2.77
Pd  0.5000  0.1197  0.6197  1 Pd 2.77
Ba  0.4942  0.1819  0.3123  3 Pd 3.16-3.33
Ba  0.1819  0.6877  0.8696  3 Pd 3.16-3.33
Ba  0.6877  0.5058  0.8181  3 Pd 3.16-3.33
Ba  0.1819  0.3123  0.4942  3 Pd 3.16-3.33
Ba  0.3123  0.4942  0.1819  3 Pd 3.16-3.33
Ba  0.8181  0.3123  0.1304  3 Pd 3.16-3.33
Ba  0.5058  0.8181  0.6877  3 Pd 3.16-3.33
Ba  0.8181  0.6877  0.5058  3 Pd 3.16-3.33
Ba  0.6877  0.8696  0.1819  3 Pd 3.16-3.33
Ba  0.8696  0.1819  0.6877  3 Pd 3.16-3.33
Ba  0.1304  0.8181  0.3123  3 Pd 3.16-3.33
Ba  0.3123  0.1304  0.8181  3 Pd 3.16-3.33
Ag  0.0000  0.0000  0.0000  12 Ba 4.19

Its density of states at the Fermi level is 0.753 states/eV per atom. The value obtained for the spin magnetization is 0.00 μB/atom. The value obtained for the formation enthalpy at 0 K is -0.375 eV/atom. As for the calculated volume: 40.92 A^3/atom. As for the total DFT energy (no corrections): -0.24839 Ry/atom.

(6)
First-principles (PBE-GGA) data for crystalline Tl16In12Ga at its relaxed geometry, as listed in Alexandria.

a b c (Å): 10.3597 10.3597 10.3018
angles (deg): 109.18 109.18 109.80
Last column: nearest neighbours and their distance in Å.
Element x y z (fractional)
Tl  0.0008  0.0008  0.6390  4 Tl 3.44-3.73, 7 In 3.56-3.80, 1 Ga 3.82
Tl  0.7096  0.3216  0.3148  4 In 3.22-3.59, 5 Tl 3.45-3.57, 1 Ga 3.53
Tl  0.6369  0.9976  0.9988  4 Tl 3.44-3.75, 6 In 3.55-3.70
Tl  0.9976  0.6369  0.9988  4 Tl 3.44-3.75, 6 In 3.55-3.70
Tl  0.4040  0.6749  0.0055  5 In 3.20-3.58, 3 Tl 3.44-3.50, 1 Ga 3.54
Tl  0.9997  0.3959  0.6766  5 In 3.25-3.63, 6 Tl 3.45-3.60
Tl  0.3678  0.3678  0.3541  1 Ga 3.29, 2 Tl 3.44, 4 In 3.52-3.65
Tl  0.6038  0.2896  0.6041  4 In 3.25-3.63, 6 Tl 3.44-3.60
Tl  0.0004  0.0004  0.0006  12 In 3.55-3.84, 4 Tl 3.73-3.77
Tl  0.6749  0.4040  0.0055  5 In 3.20-3.58, 3 Tl 3.44-3.50, 1 Ga 3.54
Tl  0.0015  0.6782  0.3993  5 In 3.23-3.57, 5 Tl 3.45-3.59, 1 Ga 3.53
Tl  0.3208  0.3208  0.7112  5 In 3.31-3.62, 7 Tl 3.44-3.60
Tl  0.3216  0.7096  0.3148  4 In 3.22-3.59, 5 Tl 3.45-3.57, 1 Ga 3.53
Tl  0.3959  0.9997  0.6766  5 In 3.25-3.63, 6 Tl 3.45-3.60
Tl  0.2896  0.6038  0.6041  4 In 3.25-3.63, 6 Tl 3.44-3.60
Tl  0.6781  0.0015  0.3993  5 In 3.23-3.57, 5 Tl 3.45-3.59, 1 Ga 3.53
In  0.6340  0.8196  0.6261  3 In 3.08-3.18, 1 Ga 3.17, 2 Tl 3.22-3.39
In  0.3659  0.9969  0.1864  3 In 3.05-3.18, 2 Tl 3.23-3.41
In  0.3643  0.1852  0.9972  3 In 3.04-3.19, 2 Tl 3.20-3.37
In  0.6429  0.6429  0.8265  3 In 3.09-3.18, 3 Tl 3.31-3.42
In  0.9969  0.3659  0.1864  3 In 3.05-3.18, 2 Tl 3.23-3.41
In  0.1852  0.3643  0.9972  3 In 3.04-3.19, 2 Tl 3.20-3.37
In  0.8010  0.8010  0.1905  1 Ga 3.03, 3 In 3.09-3.22, 2 Tl 3.35
In  0.1805  0.9957  0.3627  3 In 3.05-3.22, 2 Tl 3.25-3.40
In  0.9957  0.1805  0.3627  3 In 3.05-3.22, 2 Tl 3.25-3.40
In  0.8091  0.1828  0.8134  3 In 3.08-3.19, 2 Tl 3.25-3.42
In  0.1828  0.8091  0.8134  3 In 3.08-3.19, 2 Tl 3.25-3.42
In  0.8196  0.6340  0.6261  3 In 3.08-3.18, 1 Ga 3.17, 2 Tl 3.22-3.39
Ga  0.6192  0.6192  0.3081  3 In 3.03-3.17, 1 Tl 3.29

Its density of states at the Fermi level is 0.370 states/eV per atom. The value obtained for the spin magnetization is 0.00 μB/atom. The value obtained for the formation enthalpy at 0 K is 0.017 eV/atom. As for the calculated volume: 29.44 A^3/atom. As for the total DFT energy (no corrections): -0.18565 Ry/atom.

(7)
First-principles (PBE-GGA) data for crystalline Sr2Li3Ca at its relaxed geometry, as listed in Alexandria.

a b c (Å): 4.1659 4.1659 12.3092
angles (deg): 90.00 90.00 90.00
Last column: nearest neighbours and their distance in Å.
Element x y z (fractional)
Li  0.0000  0.0000  0.0000  8 Sr 3.63
Li  0.0000  0.0000  0.3511  4 Ca 3.47, 1 Li 3.67, 4 Sr 3.68
Li  0.0000  0.0000  0.6489  4 Ca 3.47, 1 Li 3.67, 4 Sr 3.68
Sr  0.5000  0.5000  0.8276  8 Li 3.63-3.68, 1 Ca 4.03
Sr  0.5000  0.5000  0.1724  8 Li 3.63-3.68, 1 Ca 4.03
Ca  0.5000  0.5000  0.5000  8 Li 3.47

Its density of states at the Fermi level is 0.984 states/eV per atom. The value obtained for the spin magnetization is 0.00 μB/atom. The value obtained for the formation enthalpy at 0 K is 0.028 eV/atom. As for the calculated volume: 35.60 A^3/atom. As for the total DFT energy (no corrections): -0.13400 Ry/atom.

(8)
First-principles (PBE-GGA) data for crystalline Tl2As2Ir at its relaxed geometry, as listed in Alexandria.

a b c (Å): 6.2927 6.2927 6.0088
angles (deg): 90.00 90.00 90.00
Last column: nearest neighbours and their distance in Å.
Element x y z (fractional)
As  0.6386  0.1386  0.0000  2 Ir 2.44, 1 As 2.47
As  0.8614  0.6386  0.0000  2 Ir 2.44, 1 As 2.47
As  0.3614  0.8614  0.0000  2 Ir 2.44, 1 As 2.47
As  0.1386  0.3614  0.0000  2 Ir 2.44, 1 As 2.47
Tl  0.8085  0.3085  0.5000  5 Tl 3.23-3.41, 2 As 3.36
Tl  0.1915  0.6915  0.5000  5 Tl 3.23-3.41, 2 As 3.36
Tl  0.3085  0.1915  0.5000  5 Tl 3.23-3.41, 2 As 3.36
Tl  0.6915  0.8085  0.5000  5 Tl 3.23-3.41, 2 As 3.36
Ir  0.5000  0.5000  0.0000  4 As 2.44
Ir  0.0000  0.0000  0.0000  4 As 2.44

Its density of states at the Fermi level is 0.261 states/eV per atom. The value obtained for the spin magnetization is 0.00 μB/atom. The value obtained for the formation enthalpy at 0 K is -0.064 eV/atom. As for the calculated volume: 23.79 A^3/atom. As for the total DFT energy (no corrections): -0.34122 Ry/atom.

(9)
First-principles (PBE-GGA) data for crystalline SrAg2Sb at its relaxed geometry, as listed in Alexandria.

a b c (Å): 4.6706 4.6726 4.6378
angles (deg): 90.00 90.00 90.00
Last column: nearest neighbours and their distance in Å.
Element x y z (fractional)
Sr  0.0000  0.5000  0.5000  8 Ag 3.29, 4 Sb 3.30
Ag  0.0000  0.0000  0.0000  4 Sb 3.29, 4 Sr 3.29, 4 Ag 3.30
Ag  0.5000  0.5000  0.0000  4 Sr 3.29, 4 Sb 3.29, 4 Ag 3.30
Sb  0.5000  0.0000  0.5000  8 Ag 3.29, 4 Sr 3.30

The uncorrected formation energy is -0.25 eV/atom. Its density of states at the Fermi level is 0.386 states/eV per atom. The value obtained for the spin magnetization is 0.00 μB/atom. As for the calculated volume: 25.30 A^3/atom. As for the total DFT energy (no corrections): -0.22949 Ry/atom.

(10)
First-principles (PBE-GGA) data for crystalline In4SbOs at its relaxed geometry, as listed in Alexandria.

a b c (Å): 5.8997 5.8997 5.8997
angles (deg): 60.00 60.00 60.00
Last column: nearest neighbours and their distance in Å.
Element x y z (fractional)
Sb  0.0000  0.0000  0.0000  12 In 3.46, 4 Os 3.61
In  0.3755  0.3755  0.3755  6 In 2.94-2.96
In  0.8735  0.3755  0.3755  6 In 2.94-2.96
In  0.3755  0.8735  0.3755  6 In 2.94-2.96
In  0.3755  0.3755  0.8735  6 In 2.94-2.96
Os  0.7500  0.7500  0.7500  12 In 3.46, 4 Sb 3.61

The uncorrected formation energy is 0.90 eV/atom. Its density of states at the Fermi level is 0.636 states/eV per atom. The value obtained for the spin magnetization is 0.35 μB/atom. As for the calculated volume: 24.20 A^3/atom. As for the total DFT energy (no corrections): -0.25622 Ry/atom.

(11)
First-principles (PBE-GGA) data for crystalline Ce3Co4Sn13 at its relaxed geometry, as listed in Alexandria.

a b c (Å): 9.6087 9.6087 9.6087
angles (deg): 90.00 90.00 90.00
Last column: nearest neighbours and their distance in Å.
Element x y z (fractional)
Co  0.7500  0.7500  0.2500  6 Sn 2.61
Co  0.2500  0.7500  0.2500  6 Sn 2.61
Co  0.2500  0.2500  0.2500  6 Sn 2.61
Co  0.7500  0.2500  0.7500  6 Sn 2.61
Co  0.7500  0.2500  0.2500  6 Sn 2.61
Co  0.2500  0.2500  0.7500  6 Sn 2.61
Co  0.7500  0.7500  0.7500  6 Sn 2.61
Co  0.2500  0.7500  0.7500  6 Sn 2.61
Sn  0.0000  0.6965  0.1571  2 Co 2.61
Sn  0.8035  0.5000  0.6571  2 Co 2.61
Sn  0.0000  0.3035  0.1571  2 Co 2.61
Sn  0.5000  0.6571  0.1965  2 Co 2.61
Sn  0.1965  0.5000  0.6571  2 Co 2.61
Sn  0.0000  0.6965  0.8429  2 Co 2.61
Sn  0.6965  0.1571  0.0000  2 Co 2.61
Sn  0.0000  0.3035  0.8429  2 Co 2.61
Sn  0.5000  0.3429  0.8035  2 Co 2.61
Sn  0.1571  0.0000  0.6965  2 Co 2.61
Sn  0.6965  0.8429  0.0000  2 Co 2.61
Sn  0.0000  0.0000  0.0000  12 Sn 3.28
Sn  0.3035  0.8429  0.0000  2 Co 2.61
Sn  0.5000  0.5000  0.5000  12 Sn 3.28
Sn  0.3429  0.1965  0.5000  2 Co 2.61
Sn  0.1571  0.0000  0.3035  2 Co 2.61
Sn  0.5000  0.6571  0.8035  2 Co 2.61
Sn  0.6571  0.8035  0.5000  2 Co 2.61
Sn  0.3429  0.8035  0.5000  2 Co 2.61
Sn  0.5000  0.3429  0.1965  2 Co 2.61
Sn  0.3035  0.1571  0.0000  2 Co 2.61
Sn  0.8429  0.0000  0.3035  2 Co 2.61
Sn  0.8429  0.0000  0.6965  2 Co 2.61
Sn  0.6571  0.1965  0.5000  2 Co 2.61
Sn  0.1965  0.5000  0.3429  2 Co 2.61
Sn  0.8035  0.5000  0.3429  2 Co 2.61
Ce  0.2500  0.5000  0.0000  12 Sn 3.33-3.41, 4 Co 3.40
Ce  0.0000  0.7500  0.5000  12 Sn 3.33-3.41, 4 Co 3.40
Ce  0.5000  0.0000  0.7500  12 Sn 3.33-3.41, 4 Co 3.40
Ce  0.7500  0.5000  0.0000  12 Sn 3.33-3.41, 4 Co 3.40
Ce  0.0000  0.2500  0.5000  12 Sn 3.33-3.41, 4 Co 3.40
Ce  0.5000  0.0000  0.2500  12 Sn 3.33-3.41, 4 Co 3.40

Its density of states at the Fermi level is 0.941 states/eV per atom. The value obtained for the spin magnetization is 0.10 μB/atom. The value obtained for the formation enthalpy at 0 K is -0.352 eV/atom. As for the calculated volume: 22.18 A^3/atom. As for the total DFT energy (no corrections): -0.38696 Ry/atom.

(12)
First-principles (PBE-GGA) data for crystalline TcGePd2 at its relaxed geometry, as listed in Alexandria.

a b c (Å): 3.7523 3.7523 9.6966
angles (deg): 78.84 78.84 90.00
Last column: nearest neighbours and their distance in Å.
Element x y z (fractional)
Pd  0.6218  0.1250  0.2500  4 Pd 2.64-2.67, 2 Ge 2.68, 2 Tc 2.69
Pd  0.1282  0.6250  0.2500  4 Pd 2.64-2.67, 2 Ge 2.68, 2 Tc 2.69
Pd  0.3750  0.3782  0.7500  4 Pd 2.64-2.67, 2 Ge 2.68, 2 Tc 2.69
Pd  0.8750  0.8718  0.7500  4 Pd 2.64-2.67, 2 Ge 2.68, 2 Tc 2.69
Ge  0.5000  0.5000  0.0000  4 Tc 2.65, 4 Pd 2.68
Ge  0.2500  0.7500  0.5000  4 Tc 2.65, 4 Pd 2.68
Tc  0.7500  0.2500  0.5000  4 Ge 2.65, 4 Pd 2.69
Tc  0.0000  0.0000  0.0000  4 Ge 2.65, 4 Pd 2.69

Its density of states at the Fermi level is 0.724 states/eV per atom. The value obtained for the spin magnetization is 0.48 μB/atom. The value obtained for the formation enthalpy at 0 K is 0.231 eV/atom. As for the calculated volume: 16.41 A^3/atom. As for the total DFT energy (no corrections): -0.44919 Ry/atom.

Q: calculated volume of number 9 (SrAg2Sb)?
A: 25.30 A^3/atom